Li SCAN single point on PBEsol structure; energy of formation from the pure elements = 0.00 eV/f.u.; calculated total energy = -2.390 eV per atom; total moment = 0.01 μB/f.u.; offset from the most stable computed form = 0 meV per atom
1.0
-3.424 3.424 3.424
3.424 -3.424 3.424
3.424 3.424 -3.424
Li
8
Direct
0.000 0.488 0.500 Li
0.000 0.988 0.500 Li
0.012 0.012 0.012 Li
0.488 0.500 0.000 Li
0.500 0.000 0.488 Li
0.500 0.000 0.988 Li
0.512 0.512 0.512 Li
0.988 0.500 0.000 Li